Record 1
DFT (GGA-PBE) results for crystalline Sm6AgTe3 at its relaxed geometry.

Summary:
- Formation energy from raw total energies: -782 meV/atom
- Symmetry: P2_1/m

a = 4.1269 Å, b = 12.7647 Å, c = 12.6820 Å
α = 106.49°, β = 90.00°, γ = 90.00°
With the nearest neighbours (Å) after each atom.
Atoms (fractional coordinates):
Te: 0.2500 0.8441 0.9635  6 Sm 3.10-3.14
Te: 0.2500 0.3277 0.4866  7 Sm 3.13-3.30
Te: 0.7500 0.6723 0.5134  7 Sm 3.13-3.30
Te: 0.7500 0.1559 0.0365  6 Sm 3.10-3.14
Te: 0.2500 0.6014 0.1479  6 Sm 3.10-3.18
Te: 0.7500 0.3986 0.8521  6 Sm 3.10-3.18
Sm: 0.7500 0.4108 0.1035  4 Te 3.12-3.15
Sm: 0.2500 0.8815 0.5491  3 Ag 3.09-3.23, 2 Te 3.30
Sm: 0.2500 0.2173 0.2313  3 Te 3.14
Sm: 0.7500 0.1185 0.4509  3 Ag 3.09-3.23, 2 Te 3.30
Sm: 0.7500 0.7827 0.7687  3 Te 3.14
Sm: 0.7500 0.4898 0.6430  4 Te 3.18-3.21
Sm: 0.2500 0.5892 0.8965  4 Te 3.12-3.15
Sm: 0.2500 0.5102 0.3570  4 Te 3.18-3.21
Sm: 0.7500 0.9648 0.1418  3 Te 3.10-3.13, 2 Ag 3.13
Sm: 0.2500 0.2483 0.6988  3 Te 3.10-3.13, 2 Ag 3.22
Sm: 0.2500 0.0352 0.8582  3 Te 3.10-3.13, 2 Ag 3.13
Sm: 0.7500 0.7517 0.3012  3 Te 3.10-3.13, 2 Ag 3.22
Ag: 0.7500 0.0502 0.6775  7 Sm 3.09-3.23
Ag: 0.2500 0.9498 0.3225  7 Sm 3.09-3.23


Record 2
DFT (GGA-PBE) results for crystalline LiErSb2Pd4 at its relaxed geometry.

Summary:
- Formation energy from raw total energies: -715 meV/atom
- Symmetry: R-3m

a = 4.6336 Å, b = 4.6336 Å, c = 8.1949 Å
α = 73.58°, β = 73.58°, γ = 60.00°
With the nearest neighbours (Å) after each atom.
Atoms (fractional coordinates):
Pd: 0.8733 0.8733 0.3802  4 Sb 2.77-2.83, 3 Li 2.83, 1 Er 2.95
Pd: 0.3847 0.3847 0.8458  1 Li 2.68, 3 Sb 2.80, 3 Er 2.93
Pd: 0.6153 0.6153 0.1542  1 Li 2.68, 3 Sb 2.80, 3 Er 2.93
Pd: 0.1267 0.1267 0.6198  4 Sb 2.77-2.83, 3 Li 2.83, 1 Er 2.95
Li: 0.5000 0.5000 0.5000  8 Pd 2.68-2.83
Sb: 0.7540 0.7540 0.7380  7 Pd 2.77-2.83
Sb: 0.2460 0.2460 0.2620  7 Pd 2.77-2.83
Er: 0.0000 0.0000 0.0000  8 Pd 2.93-2.95


Record 3
DFT (GGA-PBE) results for crystalline Sc2AlCr2 at its relaxed geometry.

Summary:
- Energy of formation: 0.2 eV/f.u.
- Symmetry: P4/mbm

a = 6.5795 Å, b = 6.5795 Å, c = 4.0557 Å
α = 90.00°, β = 90.00°, γ = 90.00°
With the nearest neighbours (Å) after each atom.
Atoms (fractional coordinates):
Al: 0.0000 0.0000 0.0000  4 Cr 2.68
Al: 0.5000 0.5000 0.0000  4 Cr 2.68
Cr: 0.3935 0.8935 0.0000  1 Cr 1.98
Cr: 0.1065 0.3935 0.0000  1 Cr 1.98
Cr: 0.6065 0.1065 0.0000  1 Cr 1.98
Cr: 0.8935 0.6065 0.0000  1 Cr 1.98
Sc: 0.1817 0.6817 0.5000  6 Cr 2.82-2.83, 4 Al 3.15
Sc: 0.3183 0.1817 0.5000  6 Cr 2.82-2.83, 4 Al 3.15
Sc: 0.8183 0.3183 0.5000  6 Cr 2.82-2.83, 4 Al 3.15
Sc: 0.6817 0.8183 0.5000  6 Cr 2.82-2.83, 4 Al 3.15


Record 4
DFT (GGA-PBE) results for crystalline CdSb2CO at its relaxed geometry.

Summary:
- Formation energy from raw total energies: 1827 meV/atom
- Symmetry: P4/mmm

a = 5.5810 Å, b = 3.9256 Å, c = 5.5810 Å
α = 90.00°, β = 90.00°, γ = 90.00°
With the nearest neighbours (Å) after each atom.
Atoms (fractional coordinates):
Cd: 0.0000 0.0000 0.0000  2 C 1.96
Sb: 0.5000 0.0000 0.0000  2 Cd 2.79
Sb: 0.0000 0.0000 0.5000  2 Cd 2.79
O: 0.5000 0.5000 0.5000  8 Sb 3.41
C: 0.0000 0.5000 0.0000  2 Cd 1.96


Record 5
DFT (GGA-PBE) results for crystalline BeCrIr at its relaxed geometry.

Summary:
- Energy of formation: 0.3 eV/f.u.
- Relative energy among the computed polymorphs: 389.6 meV/atom
- Symmetry: Fmm2

a = 6.3001 Å, b = 6.0725 Å, c = 2.5969 Å
α = 82.85°, β = 73.01°, γ = 24.14°
With the nearest neighbours (Å) after each atom.
Atoms (fractional coordinates):
Be: 0.9992 0.9992 0.0008  2 Cr 2.34, 2 Ir 2.36, 4 Be 2.60
Ir: 0.6598 0.6598 0.3402  2 Be 2.36, 2 Cr 2.56, 4 Ir 2.60
Cr: 0.3410 0.3410 0.6590  2 Be 2.34, 2 Ir 2.56, 4 Cr 2.60


Record 6
DFT (GGA-PBE) results for crystalline Ta2In3 at its relaxed geometry.

Summary:
- Energy of formation: 1.6 eV/f.u.
- Symmetry: Fdd2

a = 9.0541 Å, b = 7.7696 Å, c = 5.9654 Å
α = 81.33°, β = 58.03°, γ = 40.64°
With the nearest neighbours (Å) after each atom.
Atoms (fractional coordinates):
Ta: 0.5488 0.3589 0.9087  8 In 2.92-3.20, 2 Ta 3.00
Ta: 0.8911 0.7012 0.0665  8 In 2.92-3.20, 2 Ta 3.00
Ta: 0.3413 0.0665 0.7012  8 In 2.92-3.20, 2 Ta 3.00
Ta: 0.1835 0.9087 0.3589  8 In 2.92-3.20, 2 Ta 3.00
In: 0.4413 0.3529 0.4647  5 Ta 2.92-3.16, 5 In 3.05-3.17
In: 0.3353 0.1647 0.1647  6 Ta 2.94-3.20, 4 In 3.06-3.11
In: 0.7411 0.4647 0.3529  5 Ta 2.92-3.16, 5 In 3.05-3.17
In: 0.8971 0.8087 0.5089  5 Ta 2.92-3.16, 5 In 3.05-3.17
In: 0.0853 0.9147 0.9147  6 Ta 2.94-3.20, 4 In 3.06-3.11
In: 0.7853 0.5089 0.8087  5 Ta 2.92-3.16, 5 In 3.05-3.17


- Number 1 is which compound?
  Sm6AgTe3